# CoBr2O (PBEsol, optimized geometry)
# E = -3.673 eV/atom
# SG = No. 122
# density of states at the Fermi level = 0.693 states/eV per atom
# total magnetic moment = 0.75 μB/f.u.
# formation energy from raw total energies = 0.51 eV/atom
data_CoBr2O
_cell_length_a 6.164
_cell_length_b 5.896
_cell_length_c 6.164
_cell_angle_alpha 58.49
_cell_angle_beta 90.00
_cell_angle_gamma 121.51
_space_group_name_H-M_alt 'P 1'
_space_group_IT_number 1
loop_
_space_group_symop_operation_xyz
'x,y,z'
loop_
_atom_site_label
_atom_site_fract_x
_atom_site_fract_y
_atom_site_fract_z
Br1 0.375 0.250 0.099
Br2 0.099 0.750 0.875
Br3 0.651 0.750 0.375
Br4 0.875 0.250 0.651
Co1 0.000 0.000 0.000
Co2 0.750 0.500 0.750
O1 0.250 0.500 0.250
O2 0.500 0.000 0.500